(1)
A relaxed structure of TlSi3, computed with GGA-PBE.

Values from the calculation:
Offset from the most stable computed form: 0.434 eV per atom
M_tot: 0.000 μB/f.u.
Space group: R-3m (166)
Crystal system: trigonal
Formation energy from raw total energies: 0.80 eV/atom

Cell lengths 5.4757, 5.4757, 5.4757 Å; angles 116.58, 116.58, 116.58 degrees
With the nearest neighbours (Å) after each atom.
Positions (direct):
Si1 0.5000 0.5000 0.0000  6 Si 2.88-3.07, 2 Tl 2.88
Si2 0.5000 0.0000 0.5000  6 Si 2.88-3.07, 2 Tl 2.88
Si3 0.0000 0.0000 0.0000  2 Tl 2.88, 6 Si 2.88-3.07
Tl1 0.0000 0.5000 0.5000  6 Si 2.88, 2 Tl 3.07

=====

(2)
A relaxed structure of BeCr3Sb, computed with GGA-PBE.

Values from the calculation:
Offset from the most stable computed form: 1.073 eV per atom
M_tot: 12.082 μB/f.u.
Space group: Pm-3m (221)
Crystal system: cubic
Formation energy from raw total energies: 1.64 eV/atom

Cell lengths 5.0512, 5.0512, 5.0512 Å; angles 90.00, 90.00, 90.00 degrees
With the nearest neighbours (Å) after each atom.
Positions (direct):
Cr1 0.5000 0.0000 0.0000  2 Sb 2.53
Be1 0.5000 0.5000 0.5000  12 Cr 3.57
Cr2 0.0000 0.0000 0.5000  2 Sb 2.53
Cr3 0.0000 0.5000 0.0000  2 Sb 2.53
Sb1 0.0000 0.0000 0.0000  6 Cr 2.53

=====

(3)
A relaxed structure of Zr4TePt, computed with GGA-PBE.

Values from the calculation:
M_tot: 0.000 μB/f.u.
Space group: F-43m (216)
Crystal system: cubic
Formation energy from raw total energies: 0.08 eV/atom

Cell lengths 5.6862, 5.6862, 5.6862 Å; angles 60.00, 60.00, 60.00 degrees
With the nearest neighbours (Å) after each atom.
Positions (direct):
Pt1 0.7500 0.7500 0.7500  12 Zr 3.33, 4 Te 3.48
Zr1 0.3752 0.8743 0.3752  6 Zr 2.84-2.85
Zr2 0.3752 0.3752 0.3752  6 Zr 2.84-2.85
Zr3 0.3752 0.3752 0.8743  6 Zr 2.84-2.85
Te1 0.0000 0.0000 0.0000  12 Zr 3.33, 4 Pt 3.48
Zr4 0.8743 0.3752 0.3752  6 Zr 2.84-2.85

=====

(4)
A relaxed structure of PmDy5Tm3, computed with GGA-PBE.

Values from the calculation:
Offset from the most stable computed form: 0.382 eV per atom
Energy of formation: 374 kJ/mol of formula units
M_tot: 0.000 μB/f.u.
Space group: C2/m (12)
Crystal system: monoclinic

Cell lengths 9.2845, 9.2845, 12.7912 Å; angles 51.16, 51.16, 50.67 degrees
With the nearest neighbours (Å) after each atom.
Positions (direct):
Dy1 0.3699 0.3699 0.9291  7 Dy 3.22-3.56, 1 Pm 3.25
Dy2 0.9223 0.5081 0.2209  5 Dy 3.29-3.61, 3 Tm 3.42-3.65, 2 Pm 3.63-3.64
Dy3 0.5575 0.5575 0.5668  2 Tm 3.32-3.53, 6 Dy 3.34-3.71
Dy4 0.6789 0.3211 0.0000  1 Tm 2.55, 1 Dy 2.84
Dy5 0.6301 0.6301 0.0709  7 Dy 3.22-3.56, 1 Pm 3.25
Tm1 0.0000 0.0000 0.0000  2 Dy 2.55
Tm2 0.8317 0.8317 0.3376  2 Tm 3.11-3.27, 1 Dy 3.32, 1 Pm 3.34
Pm1 0.1044 0.1044 0.1309  2 Tm 3.15-3.34, 1 Dy 3.25
Dy6 0.3211 0.6789 0.0000  1 Tm 2.55, 1 Dy 2.84
Dy7 0.4425 0.4425 0.4332  2 Tm 3.32-3.53, 6 Dy 3.34-3.71
Dy8 0.5081 0.9223 0.2209  5 Dy 3.29-3.61, 3 Tm 3.42-3.65, 2 Pm 3.63-3.64
Tm3 0.3029 0.3029 0.3183  1 Tm 3.27, 5 Dy 3.29-3.53
Tm4 0.1683 0.1683 0.6624  2 Tm 3.11-3.27, 1 Dy 3.32, 1 Pm 3.34
Tm5 0.6971 0.6971 0.6817  1 Tm 3.27, 5 Dy 3.29-3.53
Dy9 0.4919 0.0777 0.7791  5 Dy 3.29-3.61, 3 Tm 3.42-3.65, 2 Pm 3.63-3.64
Pm2 0.8956 0.8956 0.8691  2 Tm 3.15-3.34, 1 Dy 3.25
Tm6 0.0000 0.0000 0.5000  4 Dy 3.65, 2 Pm 3.72, 2 Tm 3.85
Dy10 0.0777 0.4919 0.7791  5 Dy 3.29-3.61, 3 Tm 3.42-3.65, 2 Pm 3.63-3.64

=====

(5)
A relaxed structure of PuMgCoRu, computed with GGA-PBE.

Values from the calculation:
Energy of formation: -29 kJ/mol of formula units
M_tot: 3.787 μB/f.u.
Space group: F-43m (216)
Crystal system: cubic

Cell lengths 4.5348, 4.5348, 4.5348 Å; angles 60.00, 60.00, 60.00 degrees
With the nearest neighbours (Å) after each atom.
Positions (direct):
Pu1 0.5000 0.5000 0.5000  4 Co 2.78, 4 Ru 2.78
Mg1 0.0000 0.0000 0.0000  4 Ru 2.78, 4 Co 2.78
Ru1 0.7500 0.7500 0.7500  4 Pu 2.78, 4 Mg 2.78
Co1 0.2500 0.2500 0.2500  4 Mg 2.78, 4 Pu 2.78

=====

(6)
A relaxed structure of ScHPd2Se, computed with GGA-PBE.

Values from the calculation:
Total energy: -5.39 eV per atom
M_tot: 0.000 μB/f.u.
Space group: P4/mmm (123)
Crystal system: tetragonal

Cell lengths 3.8953, 3.8953, 4.7485 Å; angles 90.00, 90.00, 90.00 degrees
With the nearest neighbours (Å) after each atom.
Positions (direct):
Se1 0.5000 0.5000 0.5000  4 Sc 2.75, 8 Pd 3.07
Sc1 0.0000 0.0000 0.5000  2 H 2.37
Pd1 0.5000 0.0000 0.0000  2 H 1.95
H1 0.0000 0.0000 0.0000  4 Pd 1.95
Pd2 0.0000 0.5000 0.0000  2 H 1.95

=====

(7)
A relaxed structure of Li2CaNCl, computed with GGA-PBE.

Values from the calculation:
Offset from the most stable computed form: 0.000 eV per atom
M_tot: 0.000 μB/f.u.
Space group: P4/mmm (123)
Crystal system: tetragonal
Formation energy from raw total energies: -1.05 eV/atom

Cell lengths 4.0660, 4.0660, 4.8276 Å; angles 90.00, 90.00, 90.00 degrees
With the nearest neighbours (Å) after each atom.
Positions (direct):
Ca1 0.0000 0.0000 0.5000  2 N 2.41
N1 0.0000 0.0000 0.0000  4 Li 2.03
Cl1 0.5000 0.5000 0.5000  4 Ca 2.88, 8 Li 3.16
Li1 0.5000 0.0000 0.0000  2 N 2.03
Li2 0.0000 0.5000 0.0000  2 N 2.03

=====

(8)
A relaxed structure of LiHfNiRh, computed with GGA-PBE.

Values from the calculation:
Energy of formation: -186 kJ/mol of formula units
M_tot: 0.000 μB/f.u.
Space group: F-43m (216)
Crystal system: cubic

Cell lengths 4.3580, 4.3580, 4.3580 Å; angles 60.00, 60.00, 60.00 degrees
With the nearest neighbours (Å) after each atom.
Positions (direct):
Ni1 0.2500 0.2500 0.2500  4 Hf 2.67, 4 Li 2.67
Rh1 0.7500 0.7500 0.7500  4 Hf 2.67, 4 Li 2.67
Hf1 0.5000 0.5000 0.5000  4 Rh 2.67, 4 Ni 2.67
Li1 0.0000 0.0000 0.0000  4 Ni 2.67, 4 Rh 2.67

=====

(9)
A relaxed structure of ErPuMoRu, computed with GGA-PBE.

Values from the calculation:
Energy of formation: 17 kJ/mol of formula units
M_tot: 3.165 μB/f.u.
Space group: F-43m (216)
Crystal system: cubic

Cell lengths 4.7963, 4.7963, 4.7963 Å; angles 60.00, 60.00, 60.00 degrees
With the nearest neighbours (Å) after each atom.
Positions (direct):
Ru1 0.7500 0.7500 0.7500  4 Er 2.94, 4 Pu 2.94
Pu1 0.0000 0.0000 0.0000  4 Ru 2.94, 4 Mo 2.94
Mo1 0.2500 0.2500 0.2500  4 Er 2.94, 4 Pu 2.94
Er1 0.5000 0.5000 0.5000  4 Mo 2.94, 4 Ru 2.94

=====

(10)
A relaxed structure of FeCoMo, computed with GGA-PBE.

Values from the calculation:
Offset from the most stable computed form: 0.000 eV per atom
Energy of formation: 2 kJ/mol of formula units
M_tot: 2.418 μB/f.u.
Space group: Imma (74)
Crystal system: orthorhombic

Cell lengths 4.7053, 4.7053, 4.7053 Å; angles 90.30, 119.23, 120.43 degrees
With the nearest neighbours (Å) after each atom.
Positions (direct):
Mo1 0.2500 0.1243 0.8743  6 Fe 2.75-2.78, 6 Co 2.75-2.76, 4 Mo 2.87-2.90
Fe1 0.0000 0.5000 0.5000  2 Fe 2.34, 4 Co 2.35
Fe2 0.5000 0.0000 0.5000  2 Fe 2.34, 4 Co 2.35
Mo2 0.7500 0.8757 0.1257  6 Fe 2.75-2.78, 6 Co 2.75-2.76, 4 Mo 2.87-2.90
Co1 0.0000 0.5000 0.0000  4 Fe 2.35, 2 Co 2.38
Co2 0.5000 0.5000 0.5000  4 Fe 2.35, 2 Co 2.38

=====

(11)
A relaxed structure of Cd2HgH, computed with GGA-PBE.

Values from the calculation:
Offset from the most stable computed form: 0.000 eV per atom
M_tot: 0.000 μB/f.u.
Space group: P-1 (2)
Crystal system: triclinic

Cell lengths 3.1823, 7.7985, 9.1023 Å; angles 50.33, 101.54, 103.93 degrees
With the nearest neighbours (Å) after each atom.
Positions (direct):
Cd1 0.0184 0.3290 0.7063  2 H 1.90-1.91
Cd2 0.9816 0.6710 0.2937  2 H 1.90-1.91
Hg1 0.1628 0.2576 0.0836  3 H 3.02-3.31, 3 Cd 3.06-3.26, 3 Hg 3.18-3.36
Cd3 0.8356 0.2109 0.4240  6 Cd 2.91-3.18, 2 Hg 3.24-3.26
Cd4 0.1644 0.7891 0.5760  6 Cd 2.91-3.18, 2 Hg 3.24-3.26
H1 0.5240 0.8447 0.1863  2 Cd 1.90-1.91
Hg2 0.8372 0.7424 0.9164  3 H 3.02-3.31, 3 Cd 3.06-3.26, 3 Hg 3.18-3.36
H2 0.4760 0.1553 0.8137  2 Cd 1.90-1.91

=====

(12)
A relaxed structure of La3Zn2CdPd9, computed with GGA-PBE.

Values from the calculation:
Energy of formation: -791 kJ/mol of formula units
M_tot: 0.000 μB/f.u.
Space group: P-3m1 (164)
Crystal system: trigonal

Cell lengths 5.7275, 5.7275, 12.0587 Å; angles 90.00, 90.00, 120.00 degrees
With the nearest neighbours (Å) after each atom.
Positions (direct):
Pd1 0.5000 0.0000 0.0000  2 Zn 2.54
Pd2 0.6732 0.8366 0.3131  1 Zn 2.50, 1 Cd 2.78
Cd1 0.0000 0.0000 0.5000  6 Pd 2.78
La1 0.3333 0.6667 0.7517  6 Pd 2.97
La2 0.6667 0.3333 0.2483  6 Pd 2.97
Pd3 0.8366 0.1634 0.6869  1 Zn 2.50, 1 Cd 2.78
La3 0.0000 0.0000 0.0000  6 Pd 2.86
Pd4 0.5000 0.5000 0.0000  2 Zn 2.54
Pd5 0.1634 0.8366 0.3131  1 Zn 2.50, 1 Cd 2.78
Pd6 0.0000 0.5000 0.0000  2 Zn 2.54
Zn1 0.3333 0.6667 0.1597  6 Pd 2.50-2.54
Pd7 0.3268 0.1634 0.6869  1 Zn 2.50, 1 Cd 2.78
Pd8 0.8366 0.6732 0.6869  1 Zn 2.50, 1 Cd 2.78
Pd9 0.1634 0.3268 0.3131  1 Zn 2.50, 1 Cd 2.78
Zn2 0.6667 0.3333 0.8403  6 Pd 2.50-2.54

=====

(13)
A relaxed structure of HgHRhAu2, computed with GGA-PBE.

Values from the calculation:
Total energy: -3.41 eV per atom
M_tot: 0.000 μB/f.u.
Space group: P4/mmm (123)
Crystal system: tetragonal

Cell lengths 4.4244, 4.4244, 3.7843 Å; angles 90.00, 90.00, 90.00 degrees
With the nearest neighbours (Å) after each atom.
Positions (direct):
Hg1 0.5000 0.5000 0.5000  8 Au 2.91, 4 Rh 3.13
Au1 0.5000 0.0000 0.0000  2 H 2.21
Au2 0.0000 0.5000 0.0000  2 H 2.21
Rh1 0.0000 0.0000 0.5000  2 H 1.89
H1 0.0000 0.0000 0.0000  2 Rh 1.89

=====

(14)
A relaxed structure of Ce4Tl2Ru, computed with GGA-PBE.

Values from the calculation:
Energy of formation: -76 kJ/mol of formula units
M_tot: 1.382 μB/f.u.
Space group: P2/m (10)
Crystal system: monoclinic

Cell lengths 3.2887, 9.4327, 9.3828 Å; angles 140.70, 90.00, 90.00 degrees
With the nearest neighbours (Å) after each atom.
Positions (direct):
Ce1 0.0000 0.6792 0.8953  1 Ru 2.64
Ce2 0.5000 0.2923 0.4520  2 Ru 2.88, 2 Ce 3.14
Ru1 0.0000 0.0714 0.0715  6 Ce 2.64-2.88
Ce3 0.5000 0.8505 0.6909  2 Ru 2.88, 2 Ce 3.14
Tl1 0.5000 0.8380 0.3188  4 Tl 3.09-3.29, 6 Ce 3.39-3.46
Ce4 0.0000 0.4636 0.2476  1 Ru 2.64
Tl2 0.5000 0.3048 0.8241  4 Tl 3.09-3.29, 6 Ce 3.39-3.46

=====

(15)
A relaxed structure of GeO, computed with GGA-PBE.

Values from the calculation:
M_tot: 0.000 μB/f.u.
Space group: Fm-3m (225)
Crystal system: cubic
Formation energy from raw total energies: -0.65 eV/atom

Cell lengths 4.7678, 4.7678, 4.7678 Å; angles 90.00, 90.00, 90.00 degrees
With the nearest neighbours (Å) after each atom.
Positions (direct):
Ge1 0.5000 0.5000 0.5000  6 O 2.38
Ge2 0.0000 0.5000 0.0000  6 O 2.38
Ge3 0.5000 0.0000 0.0000  6 O 2.38
O1 0.5000 0.0000 0.5000  6 Ge 2.38
O2 0.5000 0.5000 0.0000  6 Ge 2.38
O3 0.0000 0.5000 0.5000  6 Ge 2.38
O4 0.0000 0.0000 0.0000  6 Ge 2.38
Ge4 0.0000 0.0000 0.5000  6 O 2.38

=====

(16)
A relaxed structure of BaHgSe2, computed with GGA-PBE.

Values from the calculation:
M_tot: 0.000 μB/f.u.
Space group: R-3m (166)
Crystal system: trigonal
Formation energy from raw total energies: -1.09 eV/atom

Cell lengths 8.4113, 8.4113, 8.4113 Å; angles 35.79, 35.79, 35.79 degrees
With the nearest neighbours (Å) after each atom.
Positions (direct):
Se1 0.1043 0.1043 0.1043  1 Hg 2.46
Ba1 0.5000 0.5000 0.5000  6 Se 3.33
Se2 0.8957 0.8957 0.8957  1 Hg 2.46
Hg1 0.0000 0.0000 0.0000  2 Se 2.46

=====

(17)
A relaxed structure of KNa3Ti, computed with GGA-PBE.

Values from the calculation:
Offset from the most stable computed form: 0.427 eV per atom
Energy of formation: 582 kJ/mol of formula units
M_tot: 0.115 μB/f.u.
Space group: Pm-3m (221)
Crystal system: cubic

Cell lengths 5.8832, 5.8832, 5.8832 Å; angles 90.00, 90.00, 90.00 degrees
With the nearest neighbours (Å) after each atom.
Positions (direct):
Na1 0.0000 0.0000 0.5000  2 K 2.94
Ti1 0.5000 0.5000 0.5000  12 Na 4.16
K1 0.0000 0.0000 0.0000  6 Na 2.94
Na2 0.5000 0.0000 0.0000  2 K 2.94
Na3 0.0000 0.5000 0.0000  2 K 2.94

=====

(18)
A relaxed structure of CoP2Rh, computed with GGA-PBE.

Values from the calculation:
Offset from the most stable computed form: 0.062 eV per atom
Energy of formation: -137 kJ/mol of formula units
M_tot: 0.000 μB/f.u.
Space group: Cm (8)
Crystal system: monoclinic

Cell lengths 3.9777, 3.9777, 4.8114 Å; angles 79.61, 79.61, 47.08 degrees
With the nearest neighbours (Å) after each atom.
Positions (direct):
Co1 0.2790 0.2790 0.0817  5 P 2.15-2.29
P1 0.9783 0.9783 0.1557  3 Co 2.15-2.23, 2 Rh 2.36
Rh1 0.4874 0.4874 0.5153  5 P 2.36-2.43
P2 0.7554 0.7554 0.7473  2 Co 2.29, 3 Rh 2.43

=====

(19)
A relaxed structure of ZrReHg, computed with GGA-PBE.

Values from the calculation:
Offset from the most stable computed form: 0.543 eV per atom
Energy of formation: 220 kJ/mol of formula units
M_tot: 0.772 μB/f.u.
Space group: F-43m (216)
Crystal system: cubic

Cell lengths 4.5861, 4.5861, 4.5861 Å; angles 60.00, 60.00, 60.00 degrees
With the nearest neighbours (Å) after each atom.
Positions (direct):
Re1 0.7500 0.7500 0.7500  4 Hg 2.81, 4 Zr 2.81
Zr1 0.0000 0.0000 0.0000  4 Re 2.81
Hg1 0.5000 0.5000 0.5000  4 Re 2.81

=====

(20)
A relaxed structure of Tb5TePb4, computed with GGA-PBE.

Values from the calculation:
Offset from the most stable computed form: 0.000 eV per atom
M_tot: 0.000 μB/f.u.
Space group: I4/m (87)
Crystal system: tetragonal
Formation energy from raw total energies: -0.61 eV/atom

Cell lengths 6.2809, 7.7040, 7.7040 Å; angles 80.43, 65.94, 65.94 degrees
With the nearest neighbours (Å) after each atom.
Positions (direct):
Tb1 0.0985 0.6052 0.2000  1 Te 3.11, 5 Pb 3.13-3.19
Tb2 0.7036 0.2000 0.3948  1 Te 3.11, 5 Pb 3.13-3.19
Pb1 0.8005 0.8015 0.5995  6 Tb 3.13-3.19
Tb3 0.5010 0.0000 0.0000  2 Te 3.14, 4 Pb 3.14
Pb2 0.4000 0.4005 0.8015  6 Tb 3.13-3.19
Te1 0.0010 0.0000 0.0000  6 Tb 3.11-3.14
Tb4 0.9036 0.3948 0.8000  1 Te 3.11, 5 Pb 3.13-3.19
Pb3 0.6021 0.5995 0.1985  6 Tb 3.13-3.19
Pb4 0.2016 0.1985 0.4005  6 Tb 3.13-3.19
Tb5 0.2985 0.8000 0.6052  1 Te 3.11, 5 Pb 3.13-3.19